Hf3SnPd | PBE | optimized geometry

Summary:
As for the space group: Pm-3m (221).

a b c (Å): 5.0048 5.0048 5.0048
angles (deg): 90.00 90.00 90.00
Sites, in units of the cell vectors:
Sn 0.5000 0.5000 0.5000
Hf 0.5000 0.0000 0.0000
Hf 0.0000 0.0000 0.5000
Pd 0.0000 0.0000 0.0000
Hf 0.0000 0.5000 0.0000

***

HfSn2Pd2 | PBE | optimized geometry

Summary:
As for the space group: P4/mbm (127).

a b c (Å): 7.7065 7.7065 3.2983
angles (deg): 90.00 90.00 90.00
Sites, in units of the cell vectors:
Pd 0.6270 0.1270 0.0000
Sn 0.8279 0.3279 0.5000
Pd 0.3730 0.8730 0.0000
Pd 0.1270 0.3730 0.0000
Sn 0.3279 0.1721 0.5000
Pd 0.8730 0.6270 0.0000
Sn 0.1721 0.6721 0.5000
Hf 0.0000 0.0000 0.0000
Sn 0.6721 0.8279 0.5000
Hf 0.5000 0.5000 0.0000

***

HfSn3Pd | PBE | optimized geometry

Summary:
As for the space group: Pm-3m (221).

a b c (Å): 5.4686 5.4686 5.4686
angles (deg): 90.00 90.00 90.00
Sites, in units of the cell vectors:
Sn 0.5000 0.0000 0.0000
Sn 0.0000 0.0000 0.5000
Sn 0.0000 0.5000 0.0000
Pd 0.5000 0.5000 0.5000
Hf 0.0000 0.0000 0.0000

***

HfSn2Pd | PBE | optimized geometry

Summary:
As for the space group: R-3m (166).

a b c (Å): 3.1866 3.1866 10.3783
angles (deg): 81.17 81.17 60.00
Sites, in units of the cell vectors:
Pd 0.0000 0.0000 0.0000
Sn 0.0852 0.0852 0.7445
Sn 0.9148 0.9148 0.2555
Hf 0.5000 0.5000 0.5000

***

| no. | calculated total energy (eV for the cell shown) | formation energy (eV/atom) |
| --- | --- | --- |
| 1 | -38.0 | 0.210 |
| 2 | -60.3 | -0.363 |
| 3 | -23.9 | 0.660 |
| 4 | -23.4 | -0.050 |